(1)
Material: ErHSe
Method: DFT, PBE
State: relaxed

Properties
total energy	-4.686	eV per atom
SG	I4mm, No. 107
total moment	0.00	μB/atom

Unit cell a=3.8377 b=3.8377 c=4.7167 alpha=114.00 beta=114.00 gamma=90.00
Fractional coordinates of all 3 atoms:
Er  0.7031  0.7031  0.4061
H  0.9704  0.9704  0.9409
Se  0.3265  0.3265  0.6530

(2)
Material: PuBeSi
Method: DFT, PBE
State: relaxed

Properties
SG	Pmmm, No. 47
formation energy from raw total energies	-0.275	eV/atom
total moment	1.85	μB/atom

Unit cell a=3.8549 b=4.0875 c=6.7342 alpha=90.00 beta=90.00 gamma=90.00
Last column: magnetic moment on the atom in μB.
Fractional coordinates of all 6 atoms:
Be  0.0000  0.5000  0.3382  0.01
Be  0.0000  0.5000  0.6618  0.01
Si  0.5000  0.5000  0.1764  -0.07
Si  0.5000  0.5000  0.8236  -0.07
Pu  0.0000  0.0000  0.0000  5.13
Pu  0.5000  0.0000  0.5000  5.20

(3)
Material: LaErGaCo
Method: DFT, PBE
State: relaxed

Properties
SG	F-43m, No. 216
total moment	0.25	μB/atom
E_form	-0.249	eV per atom

Unit cell a=5.0363 b=5.0363 c=5.0363 alpha=60.00 beta=60.00 gamma=60.00
Last column: magnetic moment on the atom in μB.
Fractional coordinates of all 4 atoms:
Co  0.7500  0.7500  0.7500  1.17
La  0.0000  0.0000  0.0000  -0.06
Er  0.5000  0.5000  0.5000  -0.11
Ga  0.2500  0.2500  0.2500  0.05

(4)
Material: SrLaSe2N
Method: DFT, PBE
State: relaxed

Properties
SG	P4/mmm, No. 123
formation energy from raw total energies	-0.309	eV/atom
total moment	0.36	μB/atom

Unit cell a=5.6362 b=5.6362 c=4.5827 alpha=90.00 beta=90.00 gamma=90.00
Last column: magnetic moment on the atom in μB.
Fractional coordinates of all 5 atoms:
La  0.5000  0.5000  0.5000  -0.20
Se  0.5000  0.0000  0.0000  0.10
Se  0.0000  0.5000  0.0000  0.10
Sr  0.0000  0.0000  0.0000  0.06
N  0.0000  0.0000  0.5000  1.17

(5)
Material: CePuCdRu
Method: DFT, PBE
State: relaxed

Properties
SG	F-43m, No. 216
total moment	1.43	μB/atom
E_form	-0.022	eV per atom

Unit cell a=5.0704 b=5.0704 c=5.0704 alpha=60.00 beta=60.00 gamma=60.00
Last column: magnetic moment on the atom in μB.
Fractional coordinates of all 4 atoms:
Ru  0.7500  0.7500  0.7500  -0.53
Ce  0.5000  0.5000  0.5000  0.52
Cd  0.2500  0.2500  0.2500  0.02
Pu  0.0000  0.0000  0.0000  5.28

(6)
Material: ZnNi6Mo
Method: DFT, PBE
State: relaxed

Properties
SG	Cmmm, No. 65
total moment	0.00	μB/atom
E_form	-0.123	eV per atom

Unit cell a=6.2404 b=6.2404 c=10.2025 alpha=90.00 beta=90.00 gamma=109.51
Fractional coordinates of all 32 atoms:
Ni  0.3757  0.1278  0.1240
Ni  0.8722  0.6243  0.3760
Ni  0.1278  0.3757  0.3760
Ni  0.6241  0.8744  0.8738
Ni  0.6243  0.8722  0.1240
Ni  0.6241  0.8744  0.6262
Ni  0.1278  0.3757  0.1240
Ni  0.0000  0.0000  0.7500
Ni  0.8744  0.6241  0.6262
Ni  0.1256  0.3759  0.8738
Ni  0.7492  0.2508  0.9973
Ni  0.5000  0.5000  0.7500
Ni  0.3757  0.1278  0.3760
Ni  0.8744  0.6241  0.8738
Ni  0.6243  0.8722  0.3760
Ni  0.1256  0.3759  0.6262
Ni  0.3759  0.1256  0.8738
Ni  0.7492  0.2508  0.5027
Ni  0.5000  0.5000  0.2500
Ni  0.3759  0.1256  0.6262
Ni  0.2508  0.7492  0.9973
Ni  0.0000  0.0000  0.2500
Ni  0.8722  0.6243  0.1240
Ni  0.2508  0.7492  0.5027
Mo  0.5000  0.5000  0.4914
Mo  0.7460  0.2540  0.7500
Mo  0.2540  0.7460  0.7500
Mo  0.5000  0.5000  0.0086
Zn  0.2506  0.7494  0.2500
Zn  0.7494  0.2506  0.2500
Zn  0.0000  0.0000  0.0032
Zn  0.0000  0.0000  0.4968

(7)
Material: La2Ga2Os
Method: DFT, PBE
State: relaxed

Properties
SG	P4/mbm, No. 127
total moment	0.00	μB/atom
E_form	-0.247	eV per atom

Unit cell a=6.9723 b=6.9723 c=4.6742 alpha=90.00 beta=90.00 gamma=90.00
Fractional coordinates of all 10 atoms:
Ga  0.6388  0.1388  0.0000
Ga  0.8612  0.6388  0.0000
Ga  0.3612  0.8612  0.0000
Ga  0.1388  0.3612  0.0000
Os  0.0000  0.0000  0.0000
Os  0.5000  0.5000  0.0000
La  0.1725  0.6725  0.5000
La  0.3275  0.1725  0.5000
La  0.6725  0.8275  0.5000
La  0.8275  0.3275  0.5000

(8)
Material: NaAgW3
Method: DFT, PBE
State: relaxed

Properties
SG	Pm-3m, No. 221
total moment	0.00	μB/atom
E_form	2.890	eV per atom

Unit cell a=4.8825 b=4.8825 c=4.8825 alpha=90.00 beta=90.00 gamma=90.00
Fractional coordinates of all 5 atoms:
Na  0.5000  0.5000  0.5000
Ag  0.0000  0.0000  0.0000
W  0.5000  0.0000  0.0000
W  0.0000  0.0000  0.5000
W  0.0000  0.5000  0.0000

| no. | calculated density (g/cm³) |
| --- | --- |
| 1 | 7.23 |
| 2 | 8.80 |
| 3 | 7.99 |
| 4 | 4.54 |
| 5 | 10.77 |
| 6 | 9.11 |
| 7 | 8.88 |
| 8 | 9.74 |